The following is a DFT calculation (GGA-PBE) of a relaxed Ho2Ga2SnPd5 crystal.

Results
The calculation puts the calculated formation energy at -0.750 eV per atom. The crystal system is tetragonal. The calculation puts the total magnetization at 0.00 μB per cell. The calculation puts the final energy at -5.2675 eV per atom. The value obtained for the calculated volume is 18.47 A^3/atom. Its symmetry is P4/mbm (127).

a b c (Å): 3.7436 9.9332 9.9332
angles (deg): 90.00 90.00 90.00
Last column: nearest neighbours and their distance in Å.
Fractional coordinates of all 20 atoms:
Pd (0.5000, 0.0598, 0.7897)  2 Ga 2.59, 2 Sn 2.87
Pd (0.5000, 0.9402, 0.2103)  2 Ga 2.59, 2 Sn 2.87
Pd (0.5000, 0.0000, 0.5000)  4 Ga 2.52
Pd (0.5000, 0.2897, 0.5598)  2 Ga 2.59, 2 Sn 2.87
Pd (0.5000, 0.5598, 0.7103)  2 Ga 2.59, 2 Sn 2.87
Pd (0.5000, 0.7103, 0.4402)  2 Ga 2.59, 2 Sn 2.87
Pd (0.5000, 0.5000, 0.0000)  4 Ga 2.52
Pd (0.5000, 0.4402, 0.2897)  2 Ga 2.59, 2 Sn 2.87
Pd (0.5000, 0.2103, 0.0598)  2 Ga 2.59, 2 Sn 2.87
Pd (0.5000, 0.7897, 0.9402)  2 Ga 2.59, 2 Sn 2.87
Ho (0.0000, 0.3225, 0.8225)  3 Ga 2.84-3.01, 2 Pd 3.12
Ho (0.0000, 0.6775, 0.1775)  3 Ga 2.84-3.01, 2 Pd 3.12
Ho (0.0000, 0.1775, 0.3225)  3 Ga 2.84-3.01, 2 Pd 3.12
Ho (0.0000, 0.8225, 0.6775)  3 Ga 2.84-3.01, 2 Pd 3.12
Sn (0.0000, 0.5000, 0.5000)  8 Pd 2.87
Sn (0.0000, 0.0000, 0.0000)  8 Pd 2.87
Ga (0.0000, 0.3798, 0.1202)  6 Pd 2.52-2.59
Ga (0.0000, 0.6202, 0.8798)  6 Pd 2.52-2.59
Ga (0.0000, 0.1202, 0.6202)  6 Pd 2.52-2.59
Ga (0.0000, 0.8798, 0.3798)  6 Pd 2.52-2.59